No. 1
# NdSm2Er6Tm3, relaxed, DFT GGA-PBE
# - N(E_F): 16.61 states/eV/f.u.
# - Energy: -109.4 eV/cell
# - Total moment: 0.00 μB/cell
# - Formation energy from the elements: 0.28 eV per formula unit
# - Volume: 749.1 Å³/cell
data_NdSm2Er6Tm3
_chemical_formula_sum 'Nd2 Sm4 Er12 Tm6'
_symmetry_space_group_name_H-M 'C 1 2/m 1'
_symmetry_Int_Tables_number 12
_cell_length_a 6.1312
_cell_length_b 10.6082
_cell_length_c 11.6963
_cell_angle_alpha 90.00
_cell_angle_beta 100.04
_cell_angle_gamma 90.00
loop_
_symmetry_equiv_pos_as_xyz
'x,y,z'
'-x,-y,-z'
'-x,y,-z'
'x,-y,z'
'x+1/2,y+1/2,z'
'-x+1/2,-y+1/2,-z'
'-x+1/2,y+1/2,-z'
'x+1/2,-y+1/2,z'
loop_
_atom_site_label
_atom_site_type_symbol
_atom_site_fract_x
_atom_site_fract_y
_atom_site_fract_z
Nd1 Nd 0.0000 0.0000 0.0000
Sm1 Sm 0.0000 0.3334 0.0000
Er1 Er 0.2480 0.0000 0.7458
Er2 Er 0.2476 0.3332 0.7457
Tm1 Tm 0.0000 0.1667 0.5000
Tm2 Tm 0.0000 0.5000 0.5000

No. 2
# CsNbC3, relaxed, DFT GGA-PBE
# - N(E_F): 3.07 states/eV/f.u.
# - Energy: -18.0 eV/cell
# - Total moment: 0.00 μB/cell
# - Formation energy from the elements: 20.59 eV per formula unit
# - Volume: 79.7 Å³/cell
data_CsNbC3
_chemical_formula_sum 'Cs1 Nb1 C3'
_symmetry_space_group_name_H-M 'P m -3 m'
_symmetry_Int_Tables_number 221
_symmetry_space_group_name_Hall '-P 4 2 3'
_cell_length_a 4.3040
_cell_length_b 4.3040
_cell_length_c 4.3040
_cell_angle_alpha 90.00
_cell_angle_beta 90.00
_cell_angle_gamma 90.00
loop_
_atom_site_label
_atom_site_type_symbol
_atom_site_fract_x
_atom_site_fract_y
_atom_site_fract_z
Cs1 Cs 0.0000 0.0000 0.0000
Nb1 Nb 0.5000 0.5000 0.5000
C1 C 0.0000 0.0000 0.5000